Record 1
First-principles (PBE) data for crystalline YZrSc at its relaxed geometry, as listed in Alexandria.

The structure belongs to space group P-1 (No. 2); the cell edges are 3.325, 5.707 and 8.943 Å and the angles 77.84°, 79.32° and 73.09°. The inequivalent atoms are Y at (0.170, 0.260, 0.402), Zr at (0.165, 0.743, 0.925) and Sc at (0.498, 0.230, 0.775).

The calculated density is 4.8 g/cm3. Its energy above the most stable polymorph in this dataset is 0.000 eV/f.u. As for the magnetic moment: 0.00 μB/f.u.

Record 2
First-principles (PBE) data for crystalline BeCdPt3 at its relaxed geometry, as listed in Alexandria.

The structure belongs to space group Fd-3m (No. 227, origin choice 2); the cell edges are 11.285, 11.285 and 11.285 Å and the angles 90.00°, 90.00° and 90.00°. The inequivalent atoms are Be at (0.000, 0.000, 0.000), Cd at (0.000, 0.000, 0.500) and Pt at (0.084, 0.375, 0.375).

The calculated density is 13.1 g/cm3. Its energy above the most stable polymorph in this dataset is 1.413 eV/f.u. As for the magnetic moment: 0.00 μB/f.u.

Record 3
First-principles (PBE) data for crystalline LaGeTe3 at its relaxed geometry, as listed in Alexandria.

The structure belongs to space group Pm-3m (No. 221); the cell edges are 5.425, 5.425 and 5.425 Å and the angles 90.00°, 90.00° and 90.00°. The inequivalent atoms are La at (0.000, 0.000, 0.000), Ge at (0.500, 0.500, 0.500) and Te at (0.000, 0.500, 0.500).

The formation energy without anion corrections is -432 meV per atom. The calculated density is 6.2 g/cm3. Its energy above the most stable polymorph in this dataset is 1.932 eV/f.u. As for the magnetic moment: 0.00 μB/f.u.

Record 4
First-principles (PBE) data for crystalline Be2CdSi at its relaxed geometry, as listed in Alexandria.

The structure belongs to space group P4/mmm (No. 123); the cell edges are 4.638, 4.638 and 2.581 Å and the angles 90.00°, 90.00° and 90.00°. The inequivalent atoms are Be at (0.000, 0.500, 0.000), Cd at (0.000, 0.000, 0.500) and Si at (0.500, 0.500, 0.500).

The formation energy without anion corrections is 577 meV per atom. The calculated density is 4.7 g/cm3. Its energy above the most stable polymorph in this dataset is 0.684 eV/f.u. As for the magnetic moment: 0.00 μB/f.u.

Record 5
First-principles (PBE) data for crystalline Sm3Pu2PaN6 at its relaxed geometry, as listed in Alexandria.

The structure belongs to space group C2/m (No. 12); the cell edges are 6.129, 10.611 and 6.121 Å and the angles 90.00°, 109.51° and 90.00°. The inequivalent atoms are Sm at (0.000, 0.000, 0.000), Sm at (0.000, 0.332, 0.000), Pu at (0.000, 0.166, 0.500), Pa at (0.000, 0.500, 0.500), N at (0.239, 0.338, 0.730) and N at (0.249, 0.500, 0.271).

The formation energy without anion corrections is -1467 meV per atom. The calculated density is 11.1 g/cm3. As for the magnetic moment: 10.00 μB/f.u.

Record 6
First-principles (PBE) data for crystalline RhCl3 at its relaxed geometry, as listed in Alexandria.

The structure belongs to space group R-3m (No. 166, hexagonal axes); the cell edges are 3.6100, 3.6100 and 20.7416 Å and the angles 90.00°, 90.00° and 120.00°. The inequivalent atoms are Rh at (0.0000, 0.0000, 0.0000), Cl at (0.0000, 0.0000, 0.2730) and Cl at (0.0000, 0.0000, 0.5000).

The formation energy without anion corrections is -117 meV per atom. The calculated density is 4.5 g/cm3. As for the magnetic moment: 0.00 μB/f.u.

Record 7
First-principles (PBE) data for crystalline SrZrMn3 at its relaxed geometry, as listed in Alexandria.

The structure belongs to space group Pm-3m (No. 221); the cell edges are 5.038, 5.038 and 5.038 Å and the angles 90.00°, 90.00° and 90.00°. The inequivalent atoms are Sr at (0.000, 0.000, 0.000), Zr at (0.500, 0.500, 0.500) and Mn at (0.000, 0.500, 0.500).

The calculated density is 4.5 g/cm3. Its energy above the most stable polymorph in this dataset is 0.000 eV/f.u. As for the magnetic moment: 9.75 μB/f.u.

Record 8
First-principles (PBE) data for crystalline KTlFePd2 at its relaxed geometry, as listed in Alexandria.

The structure belongs to space group P4/mmm (No. 123); the cell edges are 5.020, 5.020 and 5.761 Å and the angles 90.00°, 90.00° and 90.00°. The inequivalent atoms are K at (0.000, 0.000, 0.000), Tl at (0.000, 0.000, 0.500), Fe at (0.500, 0.500, 0.500) and Pd at (0.000, 0.500, 0.000).

The calculated density is 5.9 g/cm3. The total energy comes out at -2.8537 eV/atom. As for the magnetic moment: 3.43 μB/f.u.

Record 9
First-principles (PBE) data for crystalline La2ZnTc2 at its relaxed geometry, as listed in Alexandria.

The structure belongs to space group P4/mbm (No. 127); the cell edges are 6.983, 6.983 and 4.691 Å and the angles 90.00°, 90.00° and 90.00°. The inequivalent atoms are La at (0.184, 0.316, 0.000), Zn at (0.000, 0.000, 0.500) and Tc at (0.116, 0.616, 0.500).

The calculated density is 7.8 g/cm3. The total energy comes out at -6.3220 eV/atom. As for the magnetic moment: 0.00 μB/f.u.

Record 10
First-principles (PBE) data for crystalline Cs4AcO4 at its relaxed geometry, as listed in Alexandria.

The structure belongs to space group C2/m (No. 12); the cell edges are 14.288, 4.046 and 10.512 Å and the angles 90.00°, 122.18° and 90.00°. The inequivalent atoms are Cs at (0.104, 0.000, 0.381), Cs at (0.209, 0.500, 0.812), Ac at (0.000, 0.500, 0.000), O at (0.074, 0.000, 0.926) and O at (0.165, 0.500, 0.251).

The formation energy without anion corrections is -1603 meV per atom. The calculated density is 5.3 g/cm3. As for the magnetic moment: 1.06 μB/f.u.

Record 11
First-principles (PBE) data for crystalline BaMg2Pb at its relaxed geometry, as listed in Alexandria.

The structure belongs to space group I4/mmm (No. 139); the cell edges are 5.191, 5.191 and 9.421 Å and the angles 90.00°, 90.00° and 90.00°. The inequivalent atoms are Ba at (0.000, 0.000, 0.000), Mg at (0.000, 0.500, 0.250) and Pb at (0.000, 0.000, 0.500).

The calculated density is 5.1 g/cm3. The total energy comes out at -2.3404 eV/atom. As for the magnetic moment: 0.00 μB/f.u.

Record 12
First-principles (PBE) data for crystalline LaTh2NbN4 at its relaxed geometry, as listed in Alexandria.

The structure belongs to space group Cmcm (No. 63); the cell edges are 3.536, 12.435 and 12.489 Å and the angles 90.00°, 90.00° and 90.00°. The inequivalent atoms are La at (0.000, 0.089, 0.250), Th at (0.000, 0.369, 0.043), Nb at (0.000, 0.172, 0.750), N at (0.000, 0.000, 0.000), N at (0.000, 0.270, 0.622) and N at (0.000, 0.439, 0.250).

The formation energy without anion corrections is -1179 meV per atom. The calculated density is 9.1 g/cm3. As for the magnetic moment: 0.00 μB/f.u.

Record 13
First-principles (PBE) data for crystalline Rb2NaICl6 at its relaxed geometry, as listed in Alexandria.

The structure belongs to space group Fm-3m (No. 225); the cell edges are 11.033, 11.033 and 11.033 Å and the angles 90.00°, 90.00° and 90.00°. The inequivalent atoms are Rb at (0.250, 0.250, 0.250), Na at (0.000, 0.000, 0.000), I at (0.000, 0.000, 0.500) and Cl at (0.000, 0.000, 0.248).

The formation energy without anion corrections is -1030 meV per atom. The calculated density is 2.6 g/cm3. As for the magnetic moment: 1.87 μB/f.u.

Record 14
First-principles (PBE) data for crystalline Mn2RuPt at its relaxed geometry, as listed in Alexandria.

The structure belongs to space group R3m (No. 160, hexagonal axes); the cell edges are 2.7001, 2.7001 and 25.8291 Å and the angles 90.00°, 90.00° and 120.00°. The inequivalent atoms are Mn at (0.0000, 0.0000, 0.0000), Mn at (0.0000, 0.0000, 0.2564), Ru at (0.0000, 0.0000, 0.7446) and Pt at (0.0000, 0.0000, 0.5045).

The calculated density is 12.4 g/cm3. The total energy comes out at -8.3733 eV/atom. As for the magnetic moment: 1.33 μB/f.u.

Record 15
First-principles (PBE) data for crystalline BeGeH2 at its relaxed geometry, as listed in Alexandria.

The structure belongs to space group Fm-3m (No. 225); the cell edges are 5.136, 5.136 and 5.136 Å and the angles 90.00°, 90.00° and 90.00°. The inequivalent atoms are Be at (0.000, 0.000, 0.000), Ge at (0.000, 0.000, 0.500) and H at (0.250, 0.250, 0.250).

The calculated density is 4.1 g/cm3. Its energy above the most stable polymorph in this dataset is 1.875 eV/f.u. As for the magnetic moment: 0.00 μB/f.u.

Record 16
First-principles (PBE) data for crystalline Cs4In4Ga at its relaxed geometry, as listed in Alexandria.

The structure belongs to space group I222 (No. 23); the cell edges are 6.966, 8.348 and 14.957 Å and the angles 90.00°, 90.00° and 90.00°. The inequivalent atoms are Cs at (0.213, 0.157, 0.348), In at (0.161, 0.127, 0.080) and Ga at (0.000, 0.500, 0.500).

The calculated density is 4.0 g/cm3. The total energy comes out at -2.0297 eV/atom. As for the magnetic moment: 0.18 μB/f.u.

Record 17
First-principles (PBE) data for crystalline BaAs2S4 at its relaxed geometry, as listed in Alexandria.

The structure belongs to space group Cc (No. 9); the cell edges are 9.866, 8.390 and 10.453 Å and the angles 90.00°, 112.07° and 90.00°. The inequivalent atoms are Ba at (0.000, 0.118, 0.000), As at (0.167, 0.343, 0.619), As at (0.434, 0.051, 0.731), S at (0.037, 0.191, 0.702), S at (0.166, 0.402, 0.227), S at (0.296, 0.062, 0.509) and S at (0.410, 0.323, 0.774).

The formation energy without anion corrections is -711 meV per atom. The calculated density is 3.4 g/cm3. As for the magnetic moment: 0.00 μB/f.u.

Record 18
First-principles (PBE) data for crystalline La3Tb7Pr at its relaxed geometry, as listed in Alexandria.

The structure belongs to space group C2/m (No. 12); the cell edges are 11.779, 10.157 and 6.462 Å and the angles 90.00°, 94.71° and 90.00°. The inequivalent atoms are La at (0.000, 0.000, 0.000), La at (0.000, 0.179, 0.500), Tb at (0.000, 0.500, 0.500), Tb at (0.238, 0.000, 0.708), Tb at (0.243, 0.330, 0.762) and Pr at (0.000, 0.500, 0.000).

The calculated density is 7.2 g/cm3. Its energy above the most stable polymorph in this dataset is 0.397 eV/f.u. As for the magnetic moment: 0.00 μB/f.u.

Record 19
First-principles (PBE) data for crystalline Cs2KSrAg at its relaxed geometry, as listed in Alexandria.

The structure belongs to space group P4/mmm (No. 123); the cell edges are 7.295, 7.295 and 6.537 Å and the angles 90.00°, 90.00° and 90.00°. The inequivalent atoms are Cs at (0.000, 0.500, 0.000), K at (0.000, 0.000, 0.500), Sr at (0.500, 0.500, 0.500) and Ag at (0.500, 0.500, 0.000).

The calculated density is 2.4 g/cm3. The total energy comes out at -1.3975 eV/atom. As for the magnetic moment: 0.00 μB/f.u.

Record 20
First-principles (PBE) data for crystalline PuCoSn at its relaxed geometry, as listed in Alexandria.

The structure belongs to space group P3m1 (No. 156); the cell edges are 4.5421, 4.5421 and 3.5489 Å and the angles 90.00°, 90.00° and 120.00°. The inequivalent atoms are Pu at (0.0000, 0.0000, 0.0000), Co at (0.3333, 0.6667, 0.5015) and Sn at (0.6667, 0.3333, 0.5001).

The calculated density is 11.0 g/cm3. The total energy comes out at -8.5878 eV/atom. As for the magnetic moment: 4.01 μB/f.u.

Record 21
First-principles (PBE) data for crystalline AcNd2Ho6 at its relaxed geometry, as listed in Alexandria.

The structure belongs to space group C2/m (No. 12); the cell edges are 11.182, 6.778 and 8.843 Å and the angles 90.00°, 109.52° and 90.00°. The inequivalent atoms are Ac at (0.000, 0.000, 0.000), Nd at (0.240, 0.000, 0.795), Ho at (0.099, 0.238, 0.404) and Ho at (0.172, 0.500, 0.765).

The calculated density is 7.9 g/cm3. Its energy above the most stable polymorph in this dataset is 0.000 eV/f.u. As for the magnetic moment: 0.00 μB/f.u.

Record 22
First-principles (PBE) data for crystalline Tm7Al2Tl2 at its relaxed geometry, as listed in Alexandria.

The structure belongs to space group Cmmm (No. 65); the cell edges are 7.614, 10.826 and 7.750 Å and the angles 90.00°, 90.00° and 90.00°. The inequivalent atoms are Tm at (0.000, 0.000, 0.000), Tm at (0.000, 0.500, 0.282), Tm at (0.250, 0.250, 0.294), Al at (0.170, 0.000, 0.500) and Tl at (0.000, 0.298, 0.000).

The calculated density is 8.6 g/cm3. The total energy comes out at -3.9270 eV/atom. As for the magnetic moment: 0.00 μB/f.u.

Record 23
First-principles (PBE) data for crystalline ThSc4 at its relaxed geometry, as listed in Alexandria.

The structure belongs to space group Cmmm (No. 65); the cell edges are 5.016, 15.668 and 3.287 Å and the angles 90.00°, 90.00° and 90.00°. The inequivalent atoms are Th at (0.000, 0.000, 0.000), Sc at (0.000, 0.202, 0.000) and Sc at (0.000, 0.387, 0.500).

The calculated density is 5.3 g/cm3. Its energy above the most stable polymorph in this dataset is 0.000 eV/f.u. As for the magnetic moment: 0.00 μB/f.u.